(1)
This record from Alexandria describes MgInIr2Br after structural relaxation. The functional is GGA-PBE.

a = 4.692 Å, b = 4.692 Å, c = 5.471 Å
α = 90.00°, β = 90.00°, γ = 90.00°
Space group P4/mmm (No. 123)
Inequivalent atoms, fractional coordinates:
1 Mg 0.000 0.000 0.000 [1 per cell]
2 In 0.500 0.500 0.000 [1 per cell]
3 Ir 0.000 0.500 0.500 [2 per cell]
4 Br 0.500 0.500 0.500 [1 per cell]

Computed properties:
- Final energy: -3.456 eV/atom
- Raw formation energy: 1.29 eV per atom
- Total magnetization: 0.0 μB per cell

(2)
This record from Alexandria describes In2IrBrN after structural relaxation. The functional is GGA-PBE.

a = 5.516 Å, b = 5.516 Å, c = 3.742 Å
α = 90.00°, β = 90.00°, γ = 90.00°
Space group P4/mmm (No. 123)
Inequivalent atoms, fractional coordinates:
1 In 0.000 0.500 0.000 [2 per cell]
2 Ir 0.000 0.000 0.000 [1 per cell]
3 Br 0.500 0.500 0.500 [1 per cell]
4 N 0.000 0.000 0.500 [1 per cell]

Computed properties:
- Final energy: -4.997 eV/atom
- Raw formation energy: -0.13 eV per atom
- Total magnetization: 0.0 μB per cell

(3)
This record from Alexandria describes InIrBr2N after structural relaxation. The functional is GGA-PBE.

a = 5.574 Å, b = 5.574 Å, c = 5.311 Å
α = 90.00°, β = 90.00°, γ = 90.00°
Space group P4/mmm (No. 123)
Inequivalent atoms, fractional coordinates:
1 In 0.000 0.000 0.000 [1 per cell]
2 Ir 0.000 0.000 0.500 [1 per cell]
3 Br 0.000 0.500 0.000 [2 per cell]
4 N 0.500 0.500 0.500 [1 per cell]

Computed properties:
- Final energy: -2.978 eV/atom
- Raw formation energy: 1.68 eV per atom
- Total magnetization: 0.8 μB per cell